1.
Sr8Hg2Rh3 | PBE-GGA | optimized geometry

## Properties
Fermi-level density of states   5.37 states/eV per cell
ΔH_f (0 K)   -3.24 eV/f.u.
Spin magnetization   0.00 μB/f.u.
VASP energy   -3.03 eV/atom
Crystal system   monoclinic

a = 9.453 Å, b = 5.321 Å, c = 9.466 Å
α = 90.00°, β = 111.65°, γ = 90.00°
Element x y z (fractional)
1 Sr 0.111 0.000 0.389
2 Sr 0.133 0.500 0.856
3 Sr 0.356 0.500 0.632
4 Sr 0.387 0.000 0.113
5 Sr 0.613 0.000 0.887
6 Sr 0.644 0.500 0.368
7 Sr 0.867 0.500 0.144
8 Sr 0.889 0.000 0.611
9 Hg 0.250 0.500 0.250
10 Hg 0.750 0.500 0.750
11 Rh 0.000 0.500 0.500
12 Rh 0.253 0.000 0.752
13 Rh 0.747 0.000 0.248



2.
AcRh2 | PBE-GGA | optimized geometry

## Properties
Fermi-level density of states   3.24 states/eV per cell
Relative energy among the computed polymorphs   0.354 eV/atom
ΔH_f (0 K)   -0.65 eV/f.u.
Spin magnetization   0.00 μB/f.u.
VASP energy   -6.49 eV/atom
Crystal system   tetragonal

a = 5.086 Å, b = 5.086 Å, c = 5.086 Å
α = 136.46°, β = 136.46°, γ = 63.27°
Element x y z (fractional)
1 Ac 0.000 0.000 0.000
2 Rh 0.324 0.324 0.000
3 Rh 0.676 0.676 0.000



3.
Ac2TbIn3 | PBE-GGA | optimized geometry

## Properties
Fermi-level density of states   4.05 states/eV per cell
ΔH_f (0 K)   -2.62 eV/f.u.
Spin magnetization   0.00 μB/f.u.
VASP energy   -3.95 eV/atom
Crystal system   tetragonal

a = 3.970 Å, b = 3.970 Å, c = 12.143 Å
α = 90.00°, β = 90.00°, γ = 90.00°
Element x y z (fractional)
1 Ac 0.000 0.000 0.177
2 Ac 0.000 0.000 0.823
3 Tb 0.000 0.000 0.500
4 In 0.500 0.500 0.000
5 In 0.500 0.500 0.359
6 In 0.500 0.500 0.641



4.
NdSm2S4 | PBE-GGA | optimized geometry

## Properties
Fermi-level density of states   3.52 states/eV per cell
Relative energy among the computed polymorphs   0.000 eV/atom
Spin magnetization   0.00 μB/f.u.
Formation energy from raw total energies   -2.05 eV/atom
VASP energy   -6.44 eV/atom
Crystal system   orthorhombic

a = 6.937 Å, b = 6.937 Å, c = 13.411 Å
α = 90.00°, β = 90.00°, γ = 147.16°
Element x y z (fractional)
1 Nd 0.126 0.874 0.750
2 Nd 0.874 0.126 0.250
3 Sm 0.371 0.629 0.570
4 Sm 0.371 0.629 0.930
5 Sm 0.629 0.371 0.070
6 Sm 0.629 0.371 0.430
7 S 0.000 0.000 0.000
8 S 0.000 0.000 0.500
9 S 0.275 0.725 0.122
10 S 0.275 0.725 0.378
11 S 0.471 0.529 0.750
12 S 0.529 0.471 0.250
13 S 0.725 0.275 0.622
14 S 0.725 0.275 0.878



5.
La2PrRuAu | PBE-GGA | optimized geometry

## Properties
Fermi-level density of states   4.43 states/eV per cell
ΔH_f (0 K)   -1.27 eV/f.u.
Spin magnetization   0.00 μB/f.u.
VASP energy   -5.69 eV/atom
Crystal system   tetragonal

a = 5.410 Å, b = 5.410 Å, c = 5.694 Å
α = 90.00°, β = 90.00°, γ = 90.00°
Element x y z (fractional)
1 La 0.000 0.500 0.000
2 La 0.500 0.000 0.000
3 Pr 0.000 0.000 0.535
4 Ru 0.000 0.000 0.052
5 Au 0.500 0.500 0.680



6.
BeInSb2 | PBE-GGA | optimized geometry

## Properties
Fermi-level density of states   1.77 states/eV per cell
Relative energy among the computed polymorphs   0.174 eV/atom
Spin magnetization   0.00 μB/f.u.
Formation energy from raw total energies   0.27 eV/atom
VASP energy   -3.41 eV/atom
Crystal system   tetragonal

a = 3.755 Å, b = 3.755 Å, c = 7.227 Å
α = 90.00°, β = 90.00°, γ = 90.00°
Element x y z (fractional)
1 Be 0.000 0.000 0.000
2 In 0.500 0.500 0.467
3 Sb 0.000 0.000 0.660
4 Sb 0.500 0.500 0.072